Record 1
This record from the Alexandria database describes crystalline CsH5N at its relaxed geometry. The functional is PBE.

Summary:
**Symmetry**: No. 2
**V**: 344.58 Å³/cell
**Energy**: -54.541 eV for the cell shown
**M_tot**: 0.00 μB per formula unit

Cell: 6.814 6.615 18.384 Å, 129.72 39.45 138.62°
Sites, in units of the cell vectors:
Cs: 0.000 0.000 0.000
Cs: 0.000 0.500 0.500
H: 0.638 0.880 0.278
H: 0.442 0.516 0.533
H: 0.071 0.113 0.745
H: 0.006 0.206 0.267
H: 0.072 0.496 0.967
H: 0.929 0.505 0.033
H: 0.994 0.794 0.733
H: 0.929 0.887 0.255
H: 0.558 0.484 0.467
H: 0.362 0.120 0.722
N: 0.803 0.004 0.303
N: 0.197 0.996 0.697

Record 2
This record from the Alexandria database describes crystalline CsH2N at its relaxed geometry. The functional is PBE.

Summary:
**Symmetry**: No. 8
**V**: 151.56 Å³/cell
**Energy**: -34.506 eV for the cell shown
**M_tot**: 0.00 μB per formula unit

Cell: 4.434 4.039 8.463 Å, 90.00 90.50 90.00°
Sites, in units of the cell vectors:
Cs: 0.209 0.000 0.061
Cs: 0.209 0.500 0.561
H: 0.704 0.198 0.333
H: 0.704 0.802 0.333
H: 0.704 0.698 0.833
H: 0.704 0.302 0.833
N: 0.636 0.000 0.401
N: 0.636 0.500 0.901

Record 3
This record from the Alexandria database describes crystalline CsH2N at its relaxed geometry. The functional is PBE.

Summary:
**Symmetry**: No. 141
**V**: 94.33 Å³/cell
**Energy**: -28.203 eV for the cell shown
**M_tot**: 0.00 μB per formula unit

Cell: 5.112 5.112 5.109 Å, 59.98 59.98 90.00°
Sites, in units of the cell vectors:
Cs: 0.000 0.000 0.000
Cs: 0.750 0.250 0.500
H: 0.375 0.125 0.250
H: 0.375 0.625 0.250
H: 0.375 0.625 0.750
H: 0.875 0.625 0.750
N: 0.500 0.500 0.000
N: 0.250 0.750 0.500

Record 4
This record from the Alexandria database describes crystalline CsHN3 at its relaxed geometry. The functional is PBE.

Summary:
**Symmetry**: No. 11
**V**: 196.56 Å³/cell
**Energy**: -57.109 eV for the cell shown
**M_tot**: 0.26 μB per formula unit

Cell: 4.794 3.854 11.868 Å, 90.00 116.29 90.00°
Last column: magnetic moment on the atom in μB.
Sites, in units of the cell vectors:
Cs: 0.634 0.250 0.167  0.00
Cs: 0.366 0.750 0.833  0.00
H: 0.048 0.750 0.099  0.00
H: 0.952 0.250 0.901  0.00
N: 0.513 0.250 0.623  0.07
N: 0.487 0.750 0.377  0.07
N: 0.074 0.750 0.017  0.00
N: 0.751 0.250 0.624  0.07
N: 0.249 0.750 0.376  0.07
N: 0.926 0.250 0.983  0.00

Record 5
This record from the Alexandria database describes crystalline CsH4N at its relaxed geometry. The functional is PBE.

Summary:
**Symmetry**: No. 51
**V**: 345.75 Å³/cell
**Energy**: -45.305 eV for the cell shown
**M_tot**: 0.00 μB per formula unit

Cell: 5.462 7.800 8.115 Å, 90.00 90.00 90.00°
Sites, in units of the cell vectors:
Cs: 0.500 0.250 0.275
Cs: 0.500 0.750 0.725
H: 0.000 0.640 0.120
H: 0.158 0.250 0.730
H: 0.000 0.860 0.120
H: 0.842 0.750 0.270
H: 0.842 0.250 0.730
H: 0.000 0.140 0.880
H: 0.158 0.750 0.270
H: 0.000 0.360 0.880
N: 0.000 0.250 0.805
N: 0.000 0.750 0.195

Record 6
This record from the Alexandria database describes crystalline Cs3H8N2 at its relaxed geometry. The functional is PBE.

Summary:
**Symmetry**: No. 166
**V**: 468.52 Å³/cell
**Energy**: -46.050 eV for the cell shown
**M_tot**: 0.00 μB per formula unit

Cell: 8.005 8.005 9.625 Å, 65.43 65.43 60.00°
Sites, in units of the cell vectors:
Cs: 0.000 0.000 0.000
Cs: 0.787 0.787 0.640
Cs: 0.213 0.213 0.360
H: 0.627 0.627 0.119
H: 0.373 0.373 0.881
H: 0.429 0.643 0.285
H: 0.643 0.429 0.285
H: 0.643 0.643 0.285
H: 0.357 0.571 0.715
H: 0.571 0.357 0.715
H: 0.357 0.357 0.715
N: 0.585 0.585 0.244
N: 0.415 0.415 0.756

Record 7
This record from the Alexandria database describes crystalline CsH3N at its relaxed geometry. The functional is PBE.

Summary:
**Symmetry**: No. 161
**Relative energy among the computed polymorphs**: 0.0114 eV per atom
**V**: 287.27 Å³/cell
**M_tot**: 0.00 μB per formula unit

Cell: 11.979 11.979 11.979 Å, 25.82 25.82 25.82°
Sites, in units of the cell vectors:
Cs: 0.810 0.810 0.810
Cs: 0.310 0.310 0.310
H: 0.939 0.945 0.246
H: 0.246 0.939 0.945
H: 0.945 0.246 0.939
H: 0.439 0.746 0.445
H: 0.746 0.445 0.439
H: 0.445 0.439 0.746
N: 0.031 0.031 0.031
N: 0.531 0.531 0.531

Record 8
This record from the Alexandria database describes crystalline CsH2N at its relaxed geometry. The functional is PBE.

Summary:
**Symmetry**: No. 10
**V**: 66.65 Å³/cell
**Energy**: -12.519 eV for the cell shown
**M_tot**: 0.26 μB per formula unit

Cell: 3.199 4.578 4.566 Å, 94.65 90.00 90.00°
Last column: magnetic moment on the atom in μB.
Sites, in units of the cell vectors:
Cs: 0.500 0.500 0.000  0.01
H: 0.000 0.066 0.429  0.00
H: 0.000 0.934 0.571  0.00
N: 0.500 0.000 0.500  0.18

Record 9
This record from the Alexandria database describes crystalline CsHN2 at its relaxed geometry. The functional is PBE.

Summary:
**Symmetry**: No. 141
**Relative energy among the computed polymorphs**: 0.0715 eV per atom
**V**: 120.57 Å³/cell
**M_tot**: 2.19 μB per formula unit

Cell: 4.415 4.415 6.928 Å, 71.42 71.42 90.00°
Last column: magnetic moment on the atom in μB.
Sites, in units of the cell vectors:
Cs: 0.000 0.000 0.000  0.10
Cs: 0.750 0.250 0.500  0.10
H: 0.500 0.500 0.000  -0.07
H: 0.250 0.750 0.500  -0.07
N: 0.375 0.125 0.250  0.78
N: 0.375 0.625 0.250  0.76
N: 0.375 0.625 0.750  0.78
N: 0.875 0.625 0.750  0.76

Record 10
This record from the Alexandria database describes crystalline CsHN3 at its relaxed geometry. The functional is PBE.

Summary:
**Symmetry**: No. 221
**V**: 118.99 Å³/cell
**Energy**: -11.715 eV for the cell shown
**M_tot**: 6.79 μB per formula unit

Cell: 4.919 4.919 4.919 Å, 90.00 90.00 90.00°
Last column: magnetic moment on the atom in μB.
Sites, in units of the cell vectors:
Cs: 0.000 0.000 0.000  0.14
H: 0.500 0.500 0.500  0.37
N: 0.000 0.500 0.000  1.33
N: 0.000 0.000 0.500  1.30
N: 0.500 0.000 0.000  1.20

Record 11
This record from the Alexandria database describes crystalline CsHN2 at its relaxed geometry. The functional is PBE.

Summary:
**Symmetry**: No. 166
**Relative energy among the computed polymorphs**: 0.0000 eV per atom
**V**: 54.02 Å³/cell
**M_tot**: 0.00 μB per formula unit

Cell: 5.831 5.831 5.831 Å, 33.58 33.58 33.58°
Sites, in units of the cell vectors:
Cs: 0.000 0.000 0.000
H: 0.500 0.500 0.500
N: 0.820 0.820 0.820
N: 0.180 0.180 0.180

Record 12
This record from the Alexandria database describes crystalline CsH4NO at its relaxed geometry. The functional is PBE.

Summary:
**Symmetry**: No. 12
**V**: 193.33 Å³/cell
**Energy**: -65.802 eV for the cell shown
**M_tot**: 0.08 μB per formula unit

Cell: 5.546 5.546 8.544 Å, 64.12 64.12 58.12°
Last column: magnetic moment on the atom in μB.
Sites, in units of the cell vectors:
Cs: 0.081 0.081 0.175  0.00
Cs: 0.919 0.919 0.825  0.00
H: 0.309 0.309 0.488  0.00
H: 0.691 0.691 0.512  0.00
H: 0.148 0.459 0.322  0.00
H: 0.638 0.638 0.288  0.00
H: 0.541 0.852 0.678  0.00
H: 0.459 0.148 0.322  0.00
H: 0.362 0.362 0.712  0.00
H: 0.852 0.541 0.678  0.00
N: 0.650 0.650 0.649  0.00
N: 0.350 0.350 0.351  0.00
O: 0.246 0.246 0.765  0.06
O: 0.754 0.754 0.235  0.06

Q: Which value of V does entry 12 give?
A: 193.33 Å³/cell

Q: Among the records above, which one has the highest M_tot?
A: number 10

Q: M_tot of number 6 (Cs3H8N2)?
A: 0.00 μB per formula unit